No. 1
This record from Alexandria via LeMat-Bulk describes a relaxed NaSr2Ni crystal. The functional is PBE-GGA.

Summary:
ΔH_f (0 K): 0.198 eV/atom
Polymorph energy (0 for the lowest one): 197 meV/atom
Total DFT energy (no corrections): -9.7 eV/cell

Structure (POSCAR):
```
NaSr2Ni
1.0
-0.8201 2.6858 4.8522
-4.8626 -0.5687 2.7316
-0.1964 -2.8854 4.8027
Na Sr Ni
1 2 1
direct
0.0000 0.0000 0.0000
0.2500 0.2500 0.2500
0.7500 0.7500 0.7500
0.5000 0.5000 0.5000
```

---

No. 2
This record from Alexandria via LeMat-Bulk describes a relaxed Na2SrNi2 crystal. The functional is PBE-GGA.

Summary:
ΔH_f (0 K): 0.301 eV/atom
Polymorph energy (0 for the lowest one): 0 meV/atom
Total DFT energy (no corrections): -14.4 eV/cell

Structure (POSCAR):
```
Na2SrNi2
1.0
4.2957 0.0000 0.0000
0.0000 4.2957 0.0000
2.1478 2.1478 6.4607
Ni Sr Na
2 1 2
direct
0.5873 0.5873 0.8255
0.4127 0.4127 0.1745
0.0000 0.0000 0.0000
0.7500 0.2500 0.5000
0.2500 0.7500 0.5000
```

---

No. 3
This record from Alexandria via LeMat-Bulk describes a relaxed NaSrNi4 crystal. The functional is PBE-GGA.

Summary:
ΔH_f (0 K): 0.101 eV/atom
Total DFT energy (no corrections): -25.5 eV/cell

Structure (POSCAR):
```
NaSrNi4
1.0
5.1081 0.0000 0.0000
2.5541 4.4238 0.0000
2.5541 1.4746 4.1708
Ni Na Sr
4 1 1
direct
0.6255 0.6255 0.6255
0.6255 0.6255 0.1236
0.1236 0.6255 0.6255
0.6255 0.1236 0.6255
0.0000 0.0000 0.0000
0.2500 0.2500 0.2500
```

---

No. 4
This record from Alexandria via LeMat-Bulk describes a relaxed NaSr3Ni crystal. The functional is PBE-GGA.

Summary:
ΔH_f (0 K): 0.008 eV/atom
Polymorph energy (0 for the lowest one): 29 meV/atom
Total DFT energy (no corrections): -24.2 eV/cell

Structure (POSCAR):
```
NaSr3Ni
1.0
-9.1237 -9.3912 20.7899
-7.2127 -4.5198 5.9304
6.7677 0.7555 -7.8261
Sr Ni Na
6 2 2
direct
0.4969 0.6679 0.3321
0.5031 0.3321 0.6679
0.7145 0.2492 0.7508
0.1376 0.2589 0.7411
0.2855 0.7508 0.2492
0.8624 0.7411 0.2589
0.5365 0.0153 0.9847
0.4635 0.9847 0.0153
0.8473 0.4285 0.5715
0.1527 0.5715 0.4285
```